No. 1
Density functional theory data (GGA-PBE) for a relaxed Th2GaTe crystal.

Lattice parameters (Å, degrees): 6.2144 6.2144 12.5646 90.00 90.00 90.00
Space group Imma (No. 74)
One atom of each set of equivalent atoms:
Th1 0.0000 0.2500 0.1170
Th2 0.0000 0.2500 0.6334
Ga1 0.0000 0.2500 0.8749
Te1 0.0000 0.2500 0.3756

Values from the calculation:
* energy above the lowest structure with this stoichiometry: 24.9 meV per atom
* calculated total energy: -5.9920 eV per atom

---

No. 2
Density functional theory data (GGA-PBE) for a relaxed Th6GaTe5 crystal.

Lattice parameters (Å, degrees): 7.8627 13.3449 7.5622 90.00 109.23 90.00
Space group C2/m (No. 12)
One atom of each set of equivalent atoms:
Th1 0.2169 0.0000 0.2409
Th2 0.2292 0.1583 0.7301
Ga1 0.0000 0.0000 0.5000
Te1 0.0000 0.1826 0.0000
Te2 0.0000 0.3429 0.5000
Te3 0.0000 0.5000 0.0000

Values from the calculation:
* calculated total energy: -6.2310 eV per atom

---

No. 3
Density functional theory data (GGA-PBE) for a relaxed Th2GaTe crystal.

Lattice parameters (Å, degrees): 3.6525 3.6525 8.1247 90.00 90.00 90.00
Space group P4/mmm (No. 123)
One atom of each set of equivalent atoms:
Th1 0.0000 0.0000 0.2439
Ga1 0.5000 0.5000 0.0000
Te1 0.5000 0.5000 0.5000

Values from the calculation:
* energy above the lowest structure with this stoichiometry: 64.4 meV per atom
* calculated total energy: -5.9525 eV per atom

---

No. 4
Density functional theory data (GGA-PBE) for a relaxed ThTl2GaTe4 crystal.

Lattice parameters (Å, degrees): 8.9965 9.4155 13.2733 90.00 90.00 90.00
Space group Imma (No. 74)
One atom of each set of equivalent atoms:
Th1 0.2500 0.2500 0.2500
Tl1 0.0000 0.0000 0.0000
Tl2 0.2500 0.2500 0.7500
Ga1 0.0000 0.0000 0.5000
Te1 0.0000 0.0196 0.2605
Te2 0.2232 0.2500 0.4872

Values from the calculation:
* calculated total energy: -4.0564 eV per atom

---

No. 5
Density functional theory data (GGA-PBE) for a relaxed ThTl2GaTe5 crystal.

Lattice parameters (Å, degrees): 4.3199 20.5556 14.5380 90.00 90.00 90.00
Space group Cmc2_1 (No. 36)
One atom of each set of equivalent atoms:
Th1 0.0000 0.1981 0.0000
Tl1 0.0000 0.1090 0.3071
Tl2 0.0000 0.1257 0.6366
Ga1 0.0000 0.4373 0.3880
Te1 0.0000 0.0399 0.9981
Te2 0.0000 0.2977 0.6510
Te3 0.0000 0.3111 0.3408
Te4 0.0000 0.3478 0.9687
Te5 0.0000 0.4988 0.7331

Values from the calculation:
* calculated total energy: -3.9846 eV per atom

---

No. 6
Density functional theory data (GGA-PBE) for a relaxed TiGaTe3 crystal.

Lattice parameters (Å, degrees): 4.0251 23.4467 7.1805 90.00 90.00 90.00
Space group Cmc2_1 (No. 36)
One atom of each set of equivalent atoms:
Ti1 0.0000 0.1139 0.0000
Ga1 0.0000 0.3456 0.1171
Te1 0.0000 0.1180 0.3559
Te2 0.0000 0.2126 0.8257
Te3 0.0000 0.4452 0.3445

Values from the calculation:
* energy above the lowest structure with this stoichiometry: 158.2 meV per atom
* calculated total energy: -4.3733 eV per atom

---

No. 7
Density functional theory data (GGA-PBE) for a relaxed Ti2GaTe crystal.

Lattice parameters (Å, degrees): 6.6416 6.6416 6.6416 90.00 90.00 90.00
Space group Fm-3m (No. 225)
One atom of each set of equivalent atoms:
Ti1 0.2500 0.2500 0.2500
Ga1 0.0000 0.0000 0.0000
Te1 0.0000 0.0000 0.5000

Values from the calculation:
* energy above the lowest structure with this stoichiometry: 0.0 meV per atom
* calculated total energy: -5.6509 eV per atom

---

No. 8
Density functional theory data (GGA-PBE) for a relaxed Ti2Ga2Te crystal.

Lattice parameters (Å, degrees): 6.9794 6.9794 3.9109 90.00 90.00 90.00
Space group P4/mbm (No. 127)
One atom of each set of equivalent atoms:
Ti1 0.1473 0.3527 0.0000
Ga1 0.1488 0.6488 0.5000
Te1 0.0000 0.0000 0.0000

Values from the calculation:
* calculated total energy: -5.2762 eV per atom

---

no.,size of the total moment (μB per formula unit),DOS(E_F) (states/eV/f.u.)
1,0.00,2.9
2,0.00,8.5
3,0.00,3.5
4,0.00,3.6
5,0.00,4.0
6,0.00,1.8
7,0.70,6.6
8,0.00,5.4